Compound: Pr6ZnRh
Source: Alexandria via LeMat-Bulk
Functional: PBE
Structure: relaxed

The uncorrected energy is -4.743 eV per atom. For the mass density, the calculation gives 6.062 g/cm3. As for the formation energy: -0.08 eV per atom.

Geometry as extended XYZ:
```
8
Lattice="6.926 0.000 0.000 3.460 6.005 0.000 3.462 2.002 6.677" Properties=species:S:1:pos:R:3 pbc="T T T"
Pr 2.198 2.146 1.619
Pr 4.434 1.979 5.057
Pr 5.703 3.833 1.621
Pr 8.144 4.174 5.057
Pr 9.413 6.028 1.620
Pr 11.649 5.861 5.058
Zn 3.463 0.000 0.000
Rh 3.461 4.004 3.339
```

***

Compound: PrZn4Rh
Source: Alexandria via LeMat-Bulk
Functional: PBE
Structure: relaxed

The uncorrected energy is -3.253 eV per atom. For the mass density, the calculation gives 8.264 g/cm3. The energy relative to the lowest polymorph listed for this composition comes out at 0.0000 eV per atom. As for the formation energy: -0.38 eV per atom.

Geometry as extended XYZ:
```
6
Lattice="0.000 3.703 3.703 3.703 0.000 3.703 3.703 3.703 0.000" Properties=species:S:1:pos:R:3 pbc="T T T"
Pr 0.000 0.000 0.000
Zn 2.791 2.791 2.791
Zn 4.615 4.615 2.791
Zn 4.615 2.791 4.615
Zn 2.791 4.615 4.615
Rh 5.555 5.555 5.555
```

***

Compound: Pr3ZnRh
Source: Alexandria via LeMat-Bulk
Functional: PBE
Structure: relaxed

The uncorrected energy is -4.969 eV per atom. For the mass density, the calculation gives 7.373 g/cm3. The energy relative to the lowest polymorph listed for this composition comes out at 0.0000 eV per atom. As for the formation energy: -0.38 eV per atom.

Geometry as extended XYZ:
```
10
Lattice="0.000 4.948 8.235 3.267 0.000 8.235 3.267 4.948 0.000" Properties=species:S:1:pos:R:3 pbc="T T T"
Pr 3.267 4.948 3.224
Pr 3.267 3.114 6.556
Pr 3.267 3.114 9.914
Pr 3.267 6.782 6.556
Pr 3.267 6.782 9.914
Pr 3.267 4.948 13.246
Zn 5.281 4.948 8.235
Zn 1.252 4.948 8.235
Rh 1.633 2.474 4.118
Rh 4.900 7.422 12.353
```

***

Compound: PrZnRh4
Source: Alexandria via LeMat-Bulk
Functional: PBE
Structure: relaxed

The uncorrected energy is -6.155 eV per atom. For the mass density, the calculation gives 9.914 g/cm3. As for the formation energy: -0.24 eV per atom.

Geometry as extended XYZ:
```
12
Lattice="2.010 -8.110 0.000 2.010 8.110 0.000 0.000 0.000 6.348" Properties=species:S:1:pos:R:3 pbc="T T T"
Pr 2.010 6.427 4.761
Pr 2.010 -6.427 1.587
Zn 2.010 4.347 1.587
Zn 2.010 -4.347 4.761
Rh 2.010 6.870 1.587
Rh 2.010 2.740 3.480
Rh 2.010 2.740 6.041
Rh 2.010 0.000 0.000
Rh 2.010 0.000 3.174
Rh 2.010 -2.740 0.306
Rh 2.010 -2.740 2.867
Rh 2.010 -6.870 4.761
```

***

Compound: Pr2ZnRh3
Source: Alexandria via LeMat-Bulk
Functional: PBE
Structure: relaxed

The uncorrected energy is -5.808 eV per atom. For the mass density, the calculation gives 8.622 g/cm3. The energy relative to the lowest polymorph listed for this composition comes out at 0.2922 eV per atom. As for the formation energy: -0.33 eV per atom.

Geometry as extended XYZ:
```
12
Lattice="4.497 0.000 0.000 0.000 5.422 0.000 0.000 0.000 10.363" Properties=species:S:1:pos:R:3 pbc="T T T"
Pr 0.000 0.000 1.926
Pr 0.000 0.000 8.437
Pr 2.249 2.711 3.256
Pr 2.249 2.711 7.107
Zn 0.000 0.000 5.181
Zn 2.249 2.711 0.000
Rh 0.000 2.711 1.313
Rh 0.000 2.711 5.181
Rh 0.000 2.711 9.050
Rh 2.249 0.000 0.000
Rh 2.249 0.000 3.869
Rh 2.249 0.000 6.494
```

***

Compound: Pr4ZnRh
Source: Alexandria via LeMat-Bulk
Functional: PBE
Structure: relaxed

The uncorrected energy is -4.986 eV per atom. For the mass density, the calculation gives 7.100 g/cm3. The energy relative to the lowest polymorph listed for this composition comes out at 0.0000 eV per atom. As for the formation energy: -0.36 eV per atom.

Geometry as extended XYZ:
```
24
Lattice="0.000 6.996 6.996 6.996 0.000 6.996 6.996 6.996 0.000" Properties=species:S:1:pos:R:3 pbc="T T T"
Pr 3.498 3.498 0.802
Pr 3.498 0.802 3.498
Pr 6.194 3.498 3.498
Pr 6.996 6.996 2.622
Pr 6.996 2.622 6.996
Pr 11.370 6.996 6.996
Pr 8.424 5.568 5.568
Pr 0.802 3.498 3.498
Pr 3.498 6.194 3.498
Pr 3.498 3.498 6.194
Pr 5.568 8.424 5.568
Pr 5.568 5.568 8.424
Pr 8.424 8.424 8.424
Pr 2.622 6.996 6.996
Pr 6.996 11.370 6.996
Pr 6.996 6.996 11.370
Zn 11.589 9.399 9.399
Zn 9.399 11.589 9.399
Zn 9.399 9.399 11.589
Zn 11.589 11.589 11.589
Rh 5.491 5.491 5.491
Rh 8.500 8.500 5.491
Rh 8.500 5.491 8.500
Rh 5.491 8.500 8.500
```

***

Compound: Pr2Zn2Rh
Source: Alexandria via LeMat-Bulk
Functional: PBE
Structure: relaxed

The uncorrected energy is -4.374 eV per atom. For the mass density, the calculation gives 7.152 g/cm3. The energy relative to the lowest polymorph listed for this composition comes out at 0.0050 eV per atom. As for the formation energy: -0.48 eV per atom.

Geometry as extended XYZ:
```
10
Lattice="5.660 -2.007 0.000 5.660 2.007 0.000 -5.406 0.000 10.539" Properties=species:S:1:pos:R:3 pbc="T T T"
Pr -1.149 0.000 3.790
Pr 1.715 0.000 1.246
Pr 4.201 0.000 9.293
Pr 7.065 0.000 6.749
Zn 2.049 0.000 4.376
Zn 4.918 0.000 1.202
Zn 0.997 0.000 9.337
Zn 3.866 0.000 6.163
Rh -0.666 0.000 7.306
Rh 6.582 0.000 3.233
```

***

Compound: Pr3Zn2Rh3
Source: Alexandria via LeMat-Bulk
Functional: PBE
Structure: relaxed

The uncorrected energy is -5.353 eV per atom. For the mass density, the calculation gives 8.361 g/cm3. The energy relative to the lowest polymorph listed for this composition comes out at 0.1108 eV per atom. As for the formation energy: -0.49 eV per atom.

Geometry as extended XYZ:
```
16
Lattice="8.307 0.000 0.000 -4.154 7.194 0.000 0.000 0.000 5.731" Properties=species:S:1:pos:R:3 pbc="T T T"
Pr -1.133 1.962 1.433
Pr -3.021 5.232 4.298
Pr 2.266 0.000 1.433
Pr 1.133 1.962 4.298
Pr 6.041 0.000 4.298
Pr 3.021 5.232 1.433
Zn 0.000 4.796 0.000
Zn 0.000 4.796 2.865
Zn 4.154 2.398 0.000
Zn 4.154 2.398 2.865
Rh -1.653 2.863 4.298
Rh -2.501 4.332 1.433
Rh 3.306 0.000 4.298
Rh 1.653 2.863 1.433
Rh 5.002 0.000 1.433
Rh 2.501 4.332 4.298
```

***

Compound: Pr2Zn3Rh2
Source: Alexandria via LeMat-Bulk
Functional: PBE
Structure: relaxed

The uncorrected energy is -4.577 eV per atom. For the mass density, the calculation gives 8.063 g/cm3. As for the formation energy: -0.57 eV per atom.

Geometry as extended XYZ:
```
14
Lattice="10.110 0.000 0.000 0.000 4.145 0.000 -2.874 0.000 6.721" Properties=species:S:1:pos:R:3 pbc="T T T"
Pr 0.667 0.000 1.782
Pr 1.514 2.073 4.939
Pr 5.723 2.073 1.782
Pr 6.569 0.000 4.939
Zn -1.437 2.073 3.360
Zn -1.258 2.073 6.319
Zn 3.439 0.000 0.402
Zn 3.618 0.000 3.360
Zn 3.797 0.000 6.319
Zn 8.495 2.073 0.402
Rh -0.623 0.000 4.670
Rh 2.805 2.073 2.051
Rh 4.432 2.073 4.670
Rh 7.860 0.000 2.051
```

***

Compound: Pr4ZnRh3
Source: Alexandria via LeMat-Bulk
Functional: PBE
Structure: relaxed

The uncorrected energy is -5.888 eV per atom. For the mass density, the calculation gives 8.013 g/cm3. As for the formation energy: -0.58 eV per atom.

Geometry as extended XYZ:
```
8
Lattice="3.976 0.000 0.000 0.000 4.449 0.000 0.000 0.000 10.986" Properties=species:S:1:pos:R:3 pbc="T T T"
Pr 0.000 0.000 0.000
Pr 0.000 2.224 2.935
Pr 1.988 0.000 5.282
Pr 1.988 2.224 8.487
Zn 0.000 0.000 7.663
Rh 0.000 2.224 6.184
Rh 1.988 0.000 2.406
Rh 1.988 2.224 0.438
```

***

Compound: Pr3Zn6Rh5
Source: Alexandria via LeMat-Bulk
Functional: PBE
Structure: relaxed

The uncorrected energy is -4.736 eV per atom. For the mass density, the calculation gives 8.542 g/cm3. As for the formation energy: -0.54 eV per atom.

Geometry as extended XYZ:
```
28
Lattice="4.208 0.000 0.000 0.000 12.796 0.000 0.000 0.000 9.602" Properties=species:S:1:pos:R:3 pbc="T T T"
Pr 1.052 0.794 2.361
Pr 1.052 5.604 2.361
Pr 1.052 9.597 2.518
Pr 3.156 3.199 7.084
Pr 3.156 7.193 7.241
Pr 3.156 12.002 7.241
Zn 1.052 0.870 5.636
Zn 1.052 3.199 0.258
Zn 1.052 3.199 4.225
Zn 1.052 5.528 5.636
Zn 1.052 7.701 9.463
Zn 1.052 11.493 9.463
Zn 3.156 1.303 0.139
Zn 3.156 5.095 0.139
Zn 3.156 7.268 3.966
Zn 3.156 9.597 5.377
Zn 3.156 9.597 9.344
Zn 3.156 11.926 3.966
Rh 1.052 1.143 8.260
Rh 1.052 5.255 8.260
Rh 1.052 8.158 5.169
Rh 1.052 9.597 7.587
Rh 1.052 11.037 5.169
Rh 3.156 1.760 4.433
Rh 3.156 3.199 2.015
Rh 3.156 4.639 4.433
Rh 3.156 7.541 1.342
Rh 3.156 11.653 1.342
```

***

Compound: Pr8Zn2Rh
Source: Alexandria via LeMat-Bulk
Functional: PBE
Structure: relaxed

The uncorrected energy is -4.580 eV per atom. For the mass density, the calculation gives 6.884 g/cm3. The energy relative to the lowest polymorph listed for this composition comes out at 0.0000 eV per atom. As for the formation energy: -0.20 eV per atom.

Geometry as extended XYZ:
```
11
Lattice="9.161 -2.627 0.000 9.161 2.627 0.000 -1.273 0.000 6.821" Properties=species:S:1:pos:R:3 pbc="T T T"
Pr 0.145 0.000 1.911
Pr 2.649 0.000 5.577
Pr 5.612 0.000 3.691
Pr 7.439 0.000 0.419
Pr 9.609 0.000 6.403
Pr 11.436 0.000 3.131
Pr 14.399 0.000 1.245
Pr 16.904 0.000 4.910
Zn 3.253 0.000 1.677
Zn 13.795 0.000 5.145
Rh 8.524 0.000 3.411
```